Entry 1:
Density functional theory data (PBE-GGA) for TbDyMn after structural relaxation.

Summary:
V ... 156.6 Å³ per cell
Symmetry ... Imma (74)
ΔE_f ... 243 meV/atom
Uncorrected energy ... -35.3 eV per cell
DOS at the Fermi energy ... 1.104 states/eV/atom
ΔE to the lowest computed polymorph ... 88.3 meV/atom

abc: 10.468 10.468 10.468
angles: 159.46 157.08 30.97
Positions (direct):
Tb 0.424 0.174 0.250
Tb 0.576 0.826 0.750
Dy 0.184 0.434 0.750
Dy 0.816 0.566 0.250
Mn 0.040 0.290 0.750
Mn 0.960 0.710 0.250

---

Entry 2:
Density functional theory data (PBE-GGA) for TbDyMnTl after structural relaxation.

Summary:
V ... 101.0 Å³ per cell
Symmetry ... F-43m (216)
ΔE_f ... -17 meV/atom
Uncorrected energy ... -20.8 eV per cell
DOS at the Fermi energy ... 1.272 states/eV/atom

abc: 5.227 5.227 5.227
angles: 60.00 60.00 60.00
Positions (direct):
Tb 0.000 0.000 0.000
Dy 0.500 0.500 0.500
Mn 0.750 0.750 0.750
Tl 0.250 0.250 0.250

---

Entry 3:
Density functional theory data (PBE-GGA) for TbDyMnZn after structural relaxation.

Summary:
V ... 89.5 Å³ per cell
Symmetry ... F-43m (216)
ΔE_f ... -45 meV/atom
Uncorrected energy ... -19.9 eV per cell
DOS at the Fermi energy ... 1.214 states/eV/atom

abc: 5.021 5.021 5.021
angles: 60.00 60.00 60.00
Positions (direct):
Tb 0.000 0.000 0.000
Dy 0.500 0.500 0.500
Mn 0.750 0.750 0.750
Zn 0.250 0.250 0.250